Below is LaSmEuSn after structural relaxation, with properties calculated at the GGA-PBE level.

```
LaSmEuSn
1.0
0.000 3.969 3.969
3.969 0.000 3.969
3.969 3.969 0.000
La Sm Eu Sn
1 1 1 1
Cartesian
0.000 0.000 0.000
3.969 3.969 3.969
1.984 1.984 1.984
5.953 5.953 5.953
```

DFT formation energy = -0.30 eV/atom
Calculated volume = 125.0 Å³ per cell
DOS at the Fermi energy = 1.454 states/eV/atom
E = -6.28 eV per atom